The following is a PBE with a Hubbard U calculation of CaNbCrO6 after structural relaxation, from the Alexandria database.

Unit cell a=4.820 b=4.820 c=9.578 alpha=90.00 beta=90.00 gamma=90.00
Fractional positions:
Ca: 0.000 0.000 0.000
Ca: 0.500 0.500 0.500
Nb: 0.000 0.000 0.653
Nb: 0.500 0.500 0.153
Cr: 0.000 0.000 0.332
Cr: 0.500 0.500 0.832
O: 0.175 0.175 0.486
O: 0.220 0.220 0.187
O: 0.238 0.238 0.800
O: 0.262 0.738 0.300
O: 0.280 0.720 0.687
O: 0.325 0.675 0.986
O: 0.675 0.325 0.986
O: 0.720 0.280 0.687
O: 0.738 0.262 0.300
O: 0.762 0.762 0.800
O: 0.780 0.780 0.187
O: 0.825 0.825 0.486

Output
Raw total energy ... -7.598 eV per atom
SG ... P4_2nm, No. 102